{"formula": "LiTaAs2O6", "functional": "PBE", "state": "optimized geometry", "dft_energy_ha_per_atom": -0.2638, "vol_a3_per_cell": 145.39, "e_form_raw_ev_per_atom": -1.898, "lattice_angstrom": [[6.0656, 0.0803, -0.0905], [-2.8958, 4.8562, 0.5164], [-3.1428, -1.1636, 4.8355]], "species": ["O", "Ta", "O", "Li", "As", "O", "As", "O", "O", "O"], "frac_coords": [[0.9461, 0.6623, 0.7745], [0.9861, 0.9874, 0.9698], [0.9452, 0.2417, 0.0995], [0.0732, 0.5744, 0.5570], [0.6980, 0.3937, 0.8728], [0.4112, 0.1170, 0.2242], [0.5836, 0.8903, 0.3763], [0.9647, 0.1620, 0.6393], [0.8518, 0.6567, 0.1444], [0.5058, 0.7921, 0.6448]]}

{"formula": "CrP", "functional": "PBE", "state": "optimized geometry", "dft_energy_ha_per_atom": -0.2859, "vol_a3_per_cell": 96.92, "lattice_angstrom": [[-2.3017, 0.2798, 3.3278], [-3.5091, -0.5579, -2.3803], [0.3835, -5.5262, 0.7298]], "species": ["Cr", "Cr", "P", "P", "Cr", "P", "Cr", "P"], "frac_coords": [[0.2500, 0.1428, 0.7934], [0.7500, 0.8572, 0.2066], [0.7500, 0.1530, 0.5615], [0.2500, 0.8470, 0.4385], [0.7500, 0.6428, 0.7066], [0.7500, 0.3470, 0.0615], [0.2500, 0.3572, 0.2934], [0.2500, 0.6530, 0.9385]]}

{"formula": "Na2Sr3Mg2", "functional": "PBE", "state": "optimized geometry", "dft_energy_ha_per_atom": -0.0573, "vol_a3_per_cell": 287.01, "lattice_angstrom": [[-2.9183, -1.7123, 2.3950], [2.3595, -3.3035, 0.5133], [5.5562, 6.2748, 14.8438]], "species": ["Mg", "Sr", "Mg", "Na", "Sr", "Sr", "Na"], "frac_coords": [[0.5638, 0.5000, 0.8725], [0.8742, 0.0000, 0.2516], [0.4362, 0.5000, 0.1275], [0.2931, 0.5000, 0.4138], [0.1258, 0.0000, 0.7484], [0.0000, 0.0000, 0.0000], [0.7069, 0.5000, 0.5862]]}

{"formula": "Cu2TcAu", "functional": "PBE", "state": "optimized geometry", "dft_energy_ha_per_atom": -0.1903, "vol_a3_per_cell": 57.06, "lattice_angstrom": [[4.7807, 0.0039, 0.0000], [-1.3989, 4.5715, 0.0000], [0.0000, 0.0000, 2.6103]], "species": ["Au", "Tc", "Cu", "Cu"], "frac_coords": [[0.0000, 0.5000, 0.5000], [0.5000, 0.0000, 0.5000], [0.5000, 0.5000, 0.0000], [0.0000, 0.0000, 0.0000]]}

{"formula": "K2BrCl5", "functional": "PBE", "state": "optimized geometry", "dft_energy_ha_per_atom": -0.0916, "vol_a3_per_cell": 1117.74, "e_form_raw_ev_per_atom": -0.854, "lattice_angstrom": [[8.2890, 0.0000, -3.3457], [0.0000, 10.0998, 0.0000], [-1.3336, 0.0000, 13.8897]], "species": ["Cl", "Br", "K", "Cl", "Cl", "Cl", "Cl", "K", "Cl", "Cl", "Cl", "K", "Cl", "Cl", "Cl", "Cl", "Cl", "Br", "K", "K", "Br", "Cl", "K", "Br", "Cl", "Cl", "Cl", "Cl", "K", "K", "Cl", "Cl"], "frac_coords": [[0.5371, 0.1100, 0.8757], [0.5706, 0.2958, 0.2629], [0.4463, 0.1536, 0.6206], [0.0089, 0.1113, 0.0890], [0.4094, 0.8046, 0.5768], [0.0371, 0.3900, 0.8757], [0.5089, 0.3887, 0.0890], [0.5537, 0.8464, 0.3794], [0.2105, 0.0990, 0.7309], [0.9094, 0.6954, 0.5768], [0.2290, 0.9623, 0.4079], [0.0537, 0.6536, 0.3794], [0.4911, 0.6113, 0.9110], [0.7105, 0.4010, 0.7309], [0.5906, 0.1954, 0.4232], [0.7895, 0.9010, 0.2691], [0.9629, 0.6100, 0.1243], [0.9294, 0.7958, 0.7371], [0.2369, 0.6318, 0.0304], [0.2631, 0.1318, 0.9696], [0.4294, 0.7042, 0.7371], [0.0906, 0.3046, 0.4232], [0.9463, 0.3464, 0.6206], [0.0706, 0.2042, 0.2629], [0.9911, 0.8887, 0.9110], [0.4629, 0.8900, 0.1243], [0.7710, 0.0377, 0.5921], [0.7290, 0.5377, 0.4079], [0.7369, 0.8682, 0.0304], [0.7631, 0.3682, 0.9696], [0.2710, 0.4623, 0.5921], [0.2895, 0.5990, 0.2691]]}

{"formula": "ReSi3S", "functional": "PBE", "state": "optimized geometry", "dft_energy_ha_per_atom": -0.1941, "vol_a3_per_cell": 82.05, "e_form_raw_ev_per_atom": 1.286, "lattice_angstrom": [[4.3454, 0.0000, 0.0000], [0.0000, 4.3454, 0.0000], [0.0000, 0.0000, 4.3454]], "species": ["Re", "S", "Si", "Si", "Si"], "frac_coords": [[0.5000, 0.5000, 0.5000], [0.0000, 0.0000, 0.0000], [0.0000, 0.5000, 0.0000], [0.0000, 0.0000, 0.5000], [0.5000, 0.0000, 0.0000]]}

> Which formula does entry 2 have?

CrP